Record 1
A geometry-optimized Ce2Y2Sb2C structure. Source: the Alexandria database, functional PBE-GGA.

Results
DOS(E_F) (states/eV/atom): 2.20
Formation energy from raw total energies (eV per formula unit): -5.5

Unit cell a=4.823 b=4.823 c=16.246 alpha=90.00 beta=90.00 gamma=90.00
Space group I4/mmm (No. 139)
Symmetry-distinct sites (fractional):
Ce 0.000 0.000 0.161 [4 per cell]
Y 0.000 0.500 0.000 [4 per cell]
Sb 0.000 0.000 0.363 [4 per cell]
C 0.000 0.000 0.000 [2 per cell]

***

Record 2
A geometry-optimized Ce3ScC structure. Source: the Alexandria database, functional PBE-GGA.

Results
DOS(E_F) (states/eV/atom): 2.03
Energy relative to the elements (eV per atom): 0.007

Unit cell a=4.980 b=4.980 c=4.980 alpha=90.00 beta=90.00 gamma=90.00
Space group Pm-3m (No. 221)
Symmetry-distinct sites (fractional):
Ce 0.000 0.000 0.500 [3 per cell]
Sc 0.500 0.500 0.500 [1 per cell]
C 0.000 0.000 0.000 [1 per cell]

***

Record 3
A geometry-optimized CeSc5C4 structure. Source: the Alexandria database, functional PBE-GGA.

Results
DOS(E_F) (states/eV/atom): 0.45
Energy relative to the elements (eV per atom): -0.324

Unit cell a=14.858 b=3.412 c=6.919 alpha=90.00 beta=103.19 gamma=90.00
Space group C2/m (No. 12)
Symmetry-distinct sites (fractional):
Ce 0.000 0.000 0.000 [2 per cell]
Sc 0.000 0.000 0.500 [2 per cell]
Sc 0.161 0.500 0.310 [4 per cell]
Sc 0.169 0.500 0.860 [4 per cell]
C 0.004 0.500 0.269 [4 per cell]
C 0.174 0.000 0.095 [4 per cell]

***

Record 4
A geometry-optimized CeScC2 structure. Source: the Alexandria database, functional PBE-GGA.

Results
DOS(E_F) (states/eV/atom): 1.72
Energy relative to the elements (eV per atom): -0.053

Unit cell a=3.5298 b=3.5298 c=16.9168 alpha=90.00 beta=90.00 gamma=120.00
Space group R-3m (No. 166, hexagonal axes)
Symmetry-distinct sites (fractional):
Ce 0.0000 0.0000 0.0000 [3 per cell]
Sc 0.0000 0.0000 0.5000 [3 per cell]
C 0.0000 0.0000 0.2459 [6 per cell]

***

Record 5
A geometry-optimized Ce2ScC structure. Source: the Alexandria database, functional PBE-GGA.

Results
DOS(E_F) (states/eV/atom): 1.35
Energy relative to the elements (eV per atom): 0.880

Unit cell a=3.6752 b=3.6752 c=27.9352 alpha=90.00 beta=90.00 gamma=120.00
Space group R-3m (No. 166, hexagonal axes)
Symmetry-distinct sites (fractional):
Ce 0.0000 0.0000 0.0726 [6 per cell]
Sc 0.0000 0.0000 0.5000 [3 per cell]
C 0.0000 0.0000 0.0000 [3 per cell]

***

Record 6
A geometry-optimized Ce2Sc2C3 structure. Source: the Alexandria database, functional PBE-GGA.

Results
DOS(E_F) (states/eV/atom): 0.92
Energy relative to the elements (eV per atom): -0.272

Unit cell a=12.565 b=3.515 c=5.941 alpha=90.00 beta=111.19 gamma=90.00
Space group C2/m (No. 12)
Symmetry-distinct sites (fractional):
Ce 0.121 0.000 0.300 [4 per cell]
Sc 0.146 0.500 0.846 [4 per cell]
C 0.000 0.500 0.000 [2 per cell]
C 0.235 0.000 0.747 [4 per cell]

***

Record 7
A geometry-optimized CeSc3C structure. Source: the Alexandria database, functional PBE-GGA.

Results
DOS(E_F) (states/eV/atom): 2.10
Energy relative to the elements (eV per atom): -0.009

Unit cell a=4.700 b=4.700 c=4.700 alpha=90.00 beta=90.00 gamma=90.00
Space group Pm-3m (No. 221)
Symmetry-distinct sites (fractional):
Ce 0.000 0.000 0.000 [1 per cell]
Sc 0.000 0.500 0.500 [3 per cell]
C 0.500 0.500 0.500 [1 per cell]

***

Record 8
A geometry-optimized CeSc3C2 structure. Source: the Alexandria database, functional PBE-GGA.

Results
DOS(E_F) (states/eV/atom): 1.12
Energy relative to the elements (eV per atom): -0.343

Unit cell a=15.726 b=3.359 c=11.347 alpha=90.00 beta=131.45 gamma=90.00
Space group C2/m (No. 12)
Symmetry-distinct sites (fractional):
Ce 0.051 0.000 0.166 [4 per cell]
Sc 0.051 0.500 0.695 [4 per cell]
Sc 0.195 0.000 0.552 [4 per cell]
Sc 0.204 0.500 0.061 [4 per cell]
C 0.127 0.000 0.876 [4 per cell]
C 0.127 0.500 0.376 [4 per cell]

***

Record 9
A geometry-optimized CeSc2C2 structure. Source: the Alexandria database, functional PBE-GGA.

Results
DOS(E_F) (states/eV/atom): 0.85
Energy relative to the elements (eV per atom): -0.262

Unit cell a=3.4676 b=3.4676 c=26.8262 alpha=90.00 beta=90.00 gamma=120.00
Space group R-3m (No. 166, hexagonal axes)
Symmetry-distinct sites (fractional):
Ce 0.0000 0.0000 0.0000 [3 per cell]
Sc 0.0000 0.0000 0.2316 [6 per cell]
C 0.0000 0.0000 0.3964 [6 per cell]

***

Record 10
A geometry-optimized CeSc2SnC structure. Source: the Alexandria database, functional PBE-GGA.

Results
DOS(E_F) (states/eV/atom): 1.24
Energy relative to the elements (eV per atom): -0.590

Unit cell a=4.643 b=4.643 c=4.856 alpha=90.00 beta=90.00 gamma=90.00
Space group P4/mmm (No. 123)
Symmetry-distinct sites (fractional):
Ce 0.000 0.000 0.000 [1 per cell]
Sc 0.000 0.500 0.500 [2 per cell]
Sn 0.500 0.500 0.000 [1 per cell]
C 0.000 0.000 0.500 [1 per cell]

***

Record 11
A geometry-optimized Ce2ScTc2C4 structure. Source: the Alexandria database, functional PBE-GGA.

Results
DOS(E_F) (states/eV/atom): 0.64
Energy relative to the elements (eV per atom): -0.154

Unit cell a=13.548 b=3.293 c=5.946 alpha=90.00 beta=105.76 gamma=90.00
Space group C2/m (No. 12)
Symmetry-distinct sites (fractional):
Ce 0.126 0.000 0.027 [4 per cell]
Sc 0.000 0.000 0.500 [2 per cell]
Tc 0.177 0.500 0.509 [4 per cell]
C 0.042 0.500 0.260 [4 per cell]
C 0.230 0.000 0.726 [4 per cell]

***

Record 12
A geometry-optimized CeSc2TlC structure. Source: the Alexandria database, functional PBE-GGA.

Results
DOS(E_F) (states/eV/atom): 1.12
Energy relative to the elements (eV per atom): -0.416

Unit cell a=4.670 b=4.670 c=4.859 alpha=90.00 beta=90.00 gamma=90.00
Space group P4/mmm (No. 123)
Symmetry-distinct sites (fractional):
Ce 0.000 0.000 0.000 [1 per cell]
Sc 0.000 0.500 0.500 [2 per cell]
Tl 0.500 0.500 0.000 [1 per cell]
C 0.000 0.000 0.500 [1 per cell]

***

Record 13
A geometry-optimized Ce2ScTlC structure. Source: the Alexandria database, functional PBE-GGA.

Results
DOS(E_F) (states/eV/atom): 1.73
Energy relative to the elements (eV per atom): -0.325

Unit cell a=4.985 b=4.985 c=4.670 alpha=90.00 beta=90.00 gamma=90.00
Space group P4/mmm (No. 123)
Symmetry-distinct sites (fractional):
Ce 0.000 0.500 0.000 [2 per cell]
Sc 0.000 0.000 0.500 [1 per cell]
Tl 0.500 0.500 0.500 [1 per cell]
C 0.000 0.000 0.000 [1 per cell]

***

Record 14
A geometry-optimized Ce5CSe4 structure. Source: the Alexandria database, functional PBE-GGA.

Results
DOS(E_F) (states/eV/atom): 2.44
Formation energy from raw total energies (eV per formula unit): -14.2

Unit cell a=4.130 b=4.130 c=29.006 alpha=90.00 beta=90.00 gamma=90.00
Space group I4/mmm (No. 139)
Symmetry-distinct sites (fractional):
Ce 0.000 0.000 0.000 [2 per cell]
Ce 0.000 0.000 0.201 [4 per cell]
Ce 0.000 0.000 0.415 [4 per cell]
C 0.000 0.000 0.500 [2 per cell]
Se 0.000 0.000 0.100 [4 per cell]
Se 0.000 0.000 0.305 [4 per cell]

***

Record 15
A geometry-optimized Ce3C2Se structure. Source: the Alexandria database, functional PBE-GGA.

Results
DOS(E_F) (states/eV/atom): 1.27
Formation energy from raw total energies (eV per formula unit): -2.4

Unit cell a=9.770 b=8.792 c=5.984 alpha=90.00 beta=90.00 gamma=90.00
Space group Cmcm (No. 63)
Symmetry-distinct sites (fractional):
Ce 0.000 0.112 0.250 [4 per cell]
Ce 0.210 0.373 0.250 [8 per cell]
C 0.163 0.000 0.000 [8 per cell]
Se 0.000 0.351 0.750 [4 per cell]

***

Record 16
A geometry-optimized Ce8C3Se2 structure. Source: the Alexandria database, functional PBE-GGA.

Results
DOS(E_F) (states/eV/atom): 2.37
Formation energy from raw total energies (eV per formula unit): -6.9

Unit cell a=14.589 b=7.108 c=6.406 alpha=90.00 beta=104.49 gamma=90.00
Space group C2/m (No. 12)
Symmetry-distinct sites (fractional):
Ce 0.097 0.246 0.388 [8 per cell]
Ce 0.101 0.500 0.890 [4 per cell]
Ce 0.102 0.000 0.926 [4 per cell]
C 0.000 0.260 0.000 [4 per cell]
C 0.000 0.500 0.500 [2 per cell]
Se 0.250 0.000 0.678 [4 per cell]

***

Record 17
A geometry-optimized Ce2C2Se structure. Source: the Alexandria database, functional PBE-GGA.

Results
DOS(E_F) (states/eV/atom): 1.18
Formation energy from raw total energies (eV per formula unit): -4.6

Unit cell a=14.073 b=4.147 c=6.772 alpha=90.00 beta=101.89 gamma=90.00
Space group C2/c (No. 15)
Symmetry-distinct sites (fractional):
Ce 0.143 0.205 0.149 [8 per cell]
C 0.223 0.369 0.529 [8 per cell]
Se 0.000 0.288 0.750 [4 per cell]

***

Record 18
A geometry-optimized Ce3CSe structure. Source: the Alexandria database, functional PBE-GGA.

Results
DOS(E_F) (states/eV/atom): 2.20
Formation energy from raw total energies (eV per formula unit): -3.6

Unit cell a=14.393 b=10.348 c=6.589 alpha=90.00 beta=105.70 gamma=90.00
Space group C2/c (No. 15)
Symmetry-distinct sites (fractional):
Ce 0.086 0.055 0.386 [8 per cell]
Ce 0.094 0.237 0.966 [8 per cell]
Ce 0.105 0.413 0.481 [8 per cell]
C 0.000 0.253 0.250 [4 per cell]
C 0.000 0.414 0.750 [4 per cell]
Se 0.242 0.129 0.755 [8 per cell]

***

Record 19
A geometry-optimized Ce3CSe3 structure. Source: the Alexandria database, functional PBE-GGA.

Results
DOS(E_F) (states/eV/atom): 2.11
Formation energy from raw total energies (eV per formula unit): -9.1

Unit cell a=8.160 b=12.299 c=7.323 alpha=90.00 beta=101.00 gamma=90.00
Space group C2/m (No. 12)
Symmetry-distinct sites (fractional):
Ce 0.105 0.000 0.315 [4 per cell]
Ce 0.195 0.349 0.221 [8 per cell]
C 0.173 0.000 0.646 [4 per cell]
Se 0.000 0.166 0.000 [4 per cell]
Se 0.000 0.247 0.500 [4 per cell]
Se 0.106 0.500 0.850 [4 per cell]

***

Record 20
A geometry-optimized Ce5CSe5 structure. Source: the Alexandria database, functional PBE-GGA.

Results
DOS(E_F) (states/eV/atom): 2.52
Formation energy from raw total energies (eV per formula unit): -16.0

Unit cell a=13.079 b=5.832 c=8.171 alpha=90.00 beta=108.90 gamma=90.00
Space group C2/m (No. 12)
Symmetry-distinct sites (fractional):
Ce 0.000 0.000 0.000 [2 per cell]
Ce 0.149 0.500 0.847 [4 per cell]
Ce 0.152 0.500 0.306 [4 per cell]
C 0.000 0.500 0.000 [2 per cell]
Se 0.000 0.500 0.500 [2 per cell]
Se 0.163 0.000 0.826 [4 per cell]
Se 0.179 0.000 0.333 [4 per cell]

***

Record 21
A geometry-optimized Ce5C2Se2 structure. Source: the Alexandria database, functional PBE-GGA.

Results
DOS(E_F) (states/eV/atom): 2.16
Formation energy from raw total energies (eV per formula unit): -6.3

Unit cell a=14.713 b=7.256 c=7.248 alpha=90.00 beta=90.00 gamma=90.00
Space group Cmce (No. 64)
Symmetry-distinct sites (fractional):
Ce 0.000 0.000 0.000 [4 per cell]
Ce 0.114 0.144 0.355 [16 per cell]
C 0.000 0.168 0.666 [8 per cell]
Se 0.201 0.000 0.000 [8 per cell]

***

Record 22
A geometry-optimized Ce4CSe5 structure. Source: the Alexandria database, functional PBE-GGA.

Results
DOS(E_F) (states/eV/atom): 1.34
Formation energy from raw total energies (eV per formula unit): -12.8

Unit cell a=17.959 b=4.104 c=7.951 alpha=90.00 beta=105.42 gamma=90.00
Space group C2/m (No. 12)
Symmetry-distinct sites (fractional):
Ce 0.001 0.000 0.271 [4 per cell]
Ce 0.162 0.500 0.603 [4 per cell]
C 0.000 0.500 0.500 [2 per cell]
Se 0.000 0.500 0.000 [2 per cell]
Se 0.163 0.000 0.847 [4 per cell]
Se 0.169 0.000 0.348 [4 per cell]

***

Record 23
A geometry-optimized CeThCSe structure. Source: the Alexandria database, functional PBE-GGA.

Results
DOS(E_F) (states/eV/atom): 1.22
Formation energy from raw total energies (eV per formula unit): -4.0

Unit cell a=3.8232 b=3.8232 c=21.2806 alpha=90.00 beta=90.00 gamma=120.00
Space group R3m (No. 160, hexagonal axes)
Symmetry-distinct sites (fractional):
Ce 0.0000 0.0000 0.0000 [3 per cell]
Th 0.0000 0.0000 0.7993 [3 per cell]
C 0.0000 0.0000 0.4015 [3 per cell]
Se 0.0000 0.0000 0.2332 [3 per cell]